[1]
# PrNd2Ho PBE relaxed
data_PrNd2Ho
_chemical_formula_sum 'Pr1 Nd2 Ho1'
_cell_length_a 4.277
_cell_length_b 4.277
_cell_length_c 7.543
_cell_angle_alpha 90.00
_cell_angle_beta 90.00
_cell_angle_gamma 90.00
_symmetry_space_group_name_H-M 'P 4/m m m'
_symmetry_Int_Tables_number 123
_symmetry_space_group_name_Hall '-P 4 2'
loop_
_atom_site_label
_atom_site_type_symbol
_atom_site_fract_x
_atom_site_fract_y
_atom_site_fract_z
Pr1 Pr 0.000 0.000 0.000
Nd1 Nd 0.500 0.500 0.261
Ho1 Ho 0.000 0.000 0.500
# distance to the lowest polymorph of the same formula = 0.0953 eV/atom
# volume = 34.49 A^3/atom
# formation enthalpy at 0 K = 0.110 eV/atom

---

[2]
# Mo3Ru PBE relaxed
data_Mo3Ru
_chemical_formula_sum 'Mo3 Ru1'
_cell_length_a 2.739
_cell_length_b 3.996
_cell_length_c 5.666
_cell_angle_alpha 90.00
_cell_angle_beta 90.00
_cell_angle_gamma 90.00
_symmetry_space_group_name_H-M 'P m m m'
_symmetry_Int_Tables_number 47
loop_
_symmetry_equiv_pos_as_xyz
'x,y,z'
'-x,-y,-z'
'-x,-y,z'
'x,y,-z'
'x,-y,-z'
'-x,y,z'
'-x,y,-z'
'x,-y,z'
loop_
_atom_site_label
_atom_site_type_symbol
_atom_site_fract_x
_atom_site_fract_y
_atom_site_fract_z
Mo1 Mo 0.000 0.000 0.000
Mo2 Mo 0.500 0.500 0.258
Ru1 Ru 0.000 0.000 0.500
# volume = 15.50 A^3/atom
# formation enthalpy at 0 K = 0.213 eV/atom

---

[3]
# LiBPd3 PBE relaxed
data_LiBPd3
_chemical_formula_sum 'Li1 B1 Pd3'
_cell_length_a 4.153
_cell_length_b 4.153
_cell_length_c 4.153
_cell_angle_alpha 90.00
_cell_angle_beta 90.00
_cell_angle_gamma 90.00
_symmetry_space_group_name_H-M 'P m -3 m'
_symmetry_Int_Tables_number 221
_symmetry_space_group_name_Hall '-P 4 2 3'
loop_
_atom_site_label
_atom_site_type_symbol
_atom_site_fract_x
_atom_site_fract_y
_atom_site_fract_z
Li1 Li 0.000 0.000 0.000
B1 B 0.500 0.500 0.500
Pd1 Pd 0.000 0.000 0.500
# volume = 14.33 A^3/atom
# formation enthalpy at 0 K = 0.988 eV/atom

---

[4]
# Li2CaCr PBE relaxed
data_Li2CaCr
_chemical_formula_sum 'Li2 Ca1 Cr1'
_cell_length_a 3.303
_cell_length_b 5.073
_cell_length_c 5.727
_cell_angle_alpha 90.00
_cell_angle_beta 96.23
_cell_angle_gamma 90.00
_symmetry_space_group_name_H-M 'P 1 2/m 1'
_symmetry_Int_Tables_number 10
loop_
_symmetry_equiv_pos_as_xyz
'x,y,z'
'-x,-y,-z'
'-x,y,-z'
'x,-y,z'
loop_
_atom_site_label
_atom_site_type_symbol
_atom_site_fract_x
_atom_site_fract_y
_atom_site_fract_z
Li1 Li 0.227 0.000 0.295
Ca1 Ca 0.500 0.500 0.000
Cr1 Cr 0.000 0.500 0.500
# distance to the lowest polymorph of the same formula = 0.0343 eV/atom
# volume = 23.85 A^3/atom
# formation enthalpy at 0 K = 0.437 eV/atom

---

[5]
# LiAc2Sn4Pt3 PBE relaxed
data_LiAc2Sn4Pt3
_chemical_formula_sum 'Li1 Ac2 Sn4 Pt3'
_cell_length_a 4.679
_cell_length_b 4.679
_cell_length_c 10.947
_cell_angle_alpha 90.00
_cell_angle_beta 90.00
_cell_angle_gamma 90.00
_symmetry_space_group_name_H-M 'P -4 m 2'
_symmetry_Int_Tables_number 115
loop_
_symmetry_equiv_pos_as_xyz
'x,y,z'
'y,-x,-z'
'-x,-y,z'
'-y,x,-z'
'-x,y,z'
'-y,-x,-z'
'x,-y,z'
'y,x,-z'
loop_
_atom_site_label
_atom_site_type_symbol
_atom_site_fract_x
_atom_site_fract_y
_atom_site_fract_z
Li1 Li 0.000 0.000 0.000
Ac1 Ac 0.000 0.500 0.756
Sn1 Sn 0.000 0.000 0.500
Sn2 Sn 0.000 0.500 0.127
Sn3 Sn 0.500 0.500 0.500
Pt1 Pt 0.000 0.500 0.372
Pt2 Pt 0.500 0.500 0.000
# volume = 23.97 A^3/atom
# formation enthalpy at 0 K = -0.852 eV/atom

---

[6]
# TcSe PBE relaxed
data_TcSe
_chemical_formula_sum 'Tc6 Se6'
_cell_length_a 4.0435
_cell_length_b 4.0435
_cell_length_c 17.3710
_cell_angle_alpha 90.00
_cell_angle_beta 90.00
_cell_angle_gamma 120.00
_symmetry_space_group_name_H-M 'R -3 m'
_symmetry_Int_Tables_number 166
_symmetry_space_group_name_Hall '-R 3 2"'
loop_
_atom_site_label
_atom_site_type_symbol
_atom_site_fract_x
_atom_site_fract_y
_atom_site_fract_z
Tc1 Tc 0.0000 0.0000 0.1523
Se1 Se 0.0000 0.0000 0.4044
# distance to the lowest polymorph of the same formula = 0.4380 eV/atom
# volume = 20.50 A^3/atom
# E_form (uncorrected) = 0.232 eV per atom

---

[7]
# KSrBe2 PBE relaxed
data_KSrBe2
_chemical_formula_sum 'K1 Sr1 Be2'
_cell_length_a 3.318
_cell_length_b 3.318
_cell_length_c 9.609
_cell_angle_alpha 90.00
_cell_angle_beta 90.00
_cell_angle_gamma 90.00
_symmetry_space_group_name_H-M 'P 4 m m'
_symmetry_Int_Tables_number 99
loop_
_symmetry_equiv_pos_as_xyz
'x,y,z'
'-y,x,z'
'-x,-y,z'
'y,-x,z'
'-x,y,z'
'y,x,z'
'x,-y,z'
'-y,-x,z'
loop_
_atom_site_label
_atom_site_type_symbol
_atom_site_fract_x
_atom_site_fract_y
_atom_site_fract_z
K1 K 0.000 0.000 0.000
Sr1 Sr 0.500 0.500 0.414
Be1 Be 0.000 0.000 0.661
Be2 Be 0.500 0.500 0.720
# distance to the lowest polymorph of the same formula = 0.2016 eV/atom
# volume = 26.45 A^3/atom
# formation enthalpy at 0 K = 0.698 eV/atom

---

[8]
# Na2NdSmSe4 PBE relaxed
data_Na2NdSmSe4
_chemical_formula_sum 'Na2 Nd1 Sm1 Se4'
_cell_length_a 7.377
_cell_length_b 4.260
_cell_length_c 7.432
_cell_angle_alpha 90.00
_cell_angle_beta 109.31
_cell_angle_gamma 90.00
_symmetry_space_group_name_H-M 'P 1 2/m 1'
_symmetry_Int_Tables_number 10
loop_
_symmetry_equiv_pos_as_xyz
'x,y,z'
'-x,-y,-z'
'-x,y,-z'
'x,-y,z'
loop_
_atom_site_label
_atom_site_type_symbol
_atom_site_fract_x
_atom_site_fract_y
_atom_site_fract_z
Na1 Na 0.000 0.000 0.000
Na2 Na 0.500 0.500 0.000
Nd1 Nd 0.000 0.500 0.500
Sm1 Sm 0.500 0.000 0.500
Se1 Se 0.248 0.000 0.736
Se2 Se 0.258 0.500 0.266
# volume = 27.55 A^3/atom
# E_form (uncorrected) = -1.689 eV per atom